VASP calculation (GGA+U) on a geometry-optimized Mg14TiMnO16 structure.

Summary:
N(E_F) = 5.85 states/eV/f.u.
total DFT energy (no corrections) = -6.23 eV/atom

a = 8.594 Å, b = 8.594 Å, c = 4.276 Å
α = 90.00°, β = 90.00°, γ = 90.00°
Element x y z (fractional)
Mg1 0.000 0.252 0.000
Mg2 0.000 0.500 0.500
Mg3 0.000 0.748 0.000
Mg4 0.248 0.500 0.000
Mg5 0.250 0.250 0.500
Mg6 0.250 0.750 0.500
Mg7 0.252 0.000 0.000
Mg8 0.500 0.000 0.500
Mg9 0.500 0.248 0.000
Mg10 0.500 0.752 0.000
Mg11 0.748 0.000 0.000
Mg12 0.750 0.250 0.500
Mg13 0.750 0.750 0.500
Mg14 0.752 0.500 0.000
Ti1 0.000 0.000 0.500
Mn1 0.500 0.500 0.500
O1 0.000 0.000 0.000
O2 0.000 0.254 0.500
O3 0.000 0.500 0.000
O4 0.000 0.746 0.500
O5 0.243 0.500 0.500
O6 0.250 0.250 0.000
O7 0.250 0.750 0.000
O8 0.254 0.000 0.500
O9 0.500 0.000 0.000
O10 0.500 0.243 0.500
O11 0.500 0.500 0.000
O12 0.500 0.757 0.500
O13 0.746 0.000 0.500
O14 0.750 0.250 0.000
O15 0.750 0.750 0.000
O16 0.757 0.500 0.500